[1]
# Sm3Si2Ir | Alexandria | PBE-GGA | relaxed
data_Sm3Si2Ir
_space_group_name_H-M_alt 'P 1'
_space_group_IT_number 1
_space_group_name_Hall 'P 1'
_cell_length_a 11.7689
_cell_length_b 4.2524
_cell_length_c 11.4912
_cell_angle_alpha 90.00
_cell_angle_beta 90.00
_cell_angle_gamma 90.00
loop_
_atom_site_label
_atom_site_type_symbol
_atom_site_fract_x
_atom_site_fract_y
_atom_site_fract_z
Sm1 Sm 0.0588 0.2500 0.1222
Sm2 Sm 0.1189 0.7500 0.5578
Sm3 Sm 0.2124 0.2500 0.8019
Sm4 Sm 0.2876 0.7500 0.3019
Sm5 Sm 0.3811 0.2500 0.0578
Sm6 Sm 0.4412 0.7500 0.6222
Sm7 Sm 0.5588 0.2500 0.3777
Sm8 Sm 0.6189 0.7500 0.9422
Sm9 Sm 0.7124 0.2500 0.6981
Sm10 Sm 0.7876 0.7500 0.1981
Sm11 Sm 0.8811 0.2500 0.4422
Sm12 Sm 0.9412 0.7500 0.8778
Si1 Si 0.0247 0.7500 0.3136
Si2 Si 0.1968 0.7500 0.9950
Si3 Si 0.3032 0.2500 0.4950
Si4 Si 0.4753 0.2500 0.8136
Si5 Si 0.5247 0.7500 0.1864
Si6 Si 0.6968 0.7500 0.5050
Si7 Si 0.8032 0.2500 0.0050
Si8 Si 0.9753 0.2500 0.6864
Ir1 Ir 0.1296 0.2500 0.3639
Ir2 Ir 0.3704 0.7500 0.8639
Ir3 Ir 0.6296 0.2500 0.1361
Ir4 Ir 0.8704 0.7500 0.6361
# Energy above the lowest structure with this stoichiometry in eV/atom: 0.000
# Uncorrected formation energy in eV/atom: -0.789

[2]
# Pm4Al2ZnIn | Alexandria | PBE-GGA | relaxed
data_Pm4Al2ZnIn
_space_group_name_H-M_alt 'P 1'
_space_group_IT_number 1
_space_group_name_Hall 'P 1'
_cell_length_a 9.1436
_cell_length_b 9.1436
_cell_length_c 9.1436
_cell_angle_alpha 33.60
_cell_angle_beta 33.60
_cell_angle_gamma 33.60
loop_
_atom_site_label
_atom_site_type_symbol
_atom_site_fract_x
_atom_site_fract_y
_atom_site_fract_z
Pm1 Pm 0.1206 0.1206 0.1206
Pm2 Pm 0.3708 0.3708 0.3708
Pm3 Pm 0.6292 0.6292 0.6292
Pm4 Pm 0.8794 0.8794 0.8794
Al1 Al 0.2488 0.2488 0.2488
Al2 Al 0.7512 0.7512 0.7512
Zn1 Zn 0.0000 0.0000 0.0000
In1 In 0.5000 0.5000 0.5000
# Energy relative to the elements in eV per atom: -0.38

[3]
# MnRu2Br | Alexandria | PBE-GGA | relaxed
data_MnRu2Br
_space_group_name_H-M_alt 'P 1'
_space_group_IT_number 1
_space_group_name_Hall 'P 1'
_cell_length_a 8.4463
_cell_length_b 2.9809
_cell_length_c 5.0339
_cell_angle_alpha 90.00
_cell_angle_beta 100.48
_cell_angle_gamma 90.00
loop_
_atom_site_label
_atom_site_type_symbol
_atom_site_fract_x
_atom_site_fract_y
_atom_site_fract_z
Mn1 Mn 0.0000 0.0000 0.0000
Mn2 Mn 0.5000 0.5000 0.0000
Ru1 Ru 0.2388 0.5000 0.2136
Ru2 Ru 0.2612 0.0000 0.7864
Ru3 Ru 0.7388 0.0000 0.2136
Ru4 Ru 0.7612 0.5000 0.7864
Br1 Br 0.0000 0.5000 0.5000
Br2 Br 0.5000 0.0000 0.5000
# Energy above the lowest structure with this stoichiometry in eV/atom: 0.178
# Uncorrected formation energy in eV/atom: 0.590

[4]
# ThAl2Ag2 | Alexandria | PBE-GGA | relaxed
data_ThAl2Ag2
_space_group_name_H-M_alt 'P 1'
_space_group_IT_number 1
_space_group_name_Hall 'P 1'
_cell_length_a 4.3909
_cell_length_b 4.3909
_cell_length_c 10.8294
_cell_angle_alpha 90.00
_cell_angle_beta 90.00
_cell_angle_gamma 90.00
loop_
_atom_site_label
_atom_site_type_symbol
_atom_site_fract_x
_atom_site_fract_y
_atom_site_fract_z
Th1 Th 0.0000 0.0000 0.0000
Th2 Th 0.5000 0.5000 0.5000
Al1 Al 0.0000 0.0000 0.3839
Al2 Al 0.0000 0.0000 0.6161
Al3 Al 0.5000 0.5000 0.1161
Al4 Al 0.5000 0.5000 0.8839
Ag1 Ag 0.0000 0.5000 0.2500
Ag2 Ag 0.0000 0.5000 0.7500
Ag3 Ag 0.5000 0.0000 0.2500
Ag4 Ag 0.5000 0.0000 0.7500
# Energy above the lowest structure with this stoichiometry in eV/atom: 0.000
# Energy relative to the elements in eV per atom: -0.30

[5]
# Li4LaSn4 | Alexandria | PBE-GGA | relaxed
data_Li4LaSn4
_space_group_name_H-M_alt 'P 1'
_space_group_IT_number 1
_space_group_name_Hall 'P 1'
_cell_length_a 6.6266
_cell_length_b 6.6266
_cell_length_c 9.5003
_cell_angle_alpha 90.00
_cell_angle_beta 90.00
_cell_angle_gamma 90.00
loop_
_atom_site_label
_atom_site_type_symbol
_atom_site_fract_x
_atom_site_fract_y
_atom_site_fract_z
Li1 Li 0.0182 0.2500 0.1641
Li2 Li 0.2500 0.0182 0.6641
Li3 Li 0.2500 0.4818 0.6641
Li4 Li 0.4818 0.2500 0.1641
Li5 Li 0.5182 0.7500 0.8359
Li6 Li 0.7500 0.5182 0.3359
Li7 Li 0.7500 0.9818 0.3359
Li8 Li 0.9818 0.7500 0.8359
La1 La 0.2500 0.7500 0.2500
La2 La 0.7500 0.2500 0.7500
Sn1 Sn 0.0329 0.2500 0.4590
Sn2 Sn 0.2500 0.0329 0.9590
Sn3 Sn 0.2500 0.4671 0.9590
Sn4 Sn 0.4671 0.2500 0.4590
Sn5 Sn 0.5329 0.7500 0.5410
Sn6 Sn 0.7500 0.5329 0.0410
Sn7 Sn 0.7500 0.9671 0.0410
Sn8 Sn 0.9671 0.7500 0.5410
# Energy relative to the elements in eV per atom: -0.40

[6]
# AcSn2I8 | Alexandria | PBE-GGA | relaxed
data_AcSn2I8
_space_group_name_H-M_alt 'P 1'
_space_group_IT_number 1
_space_group_name_Hall 'P 1'
_cell_length_a 9.1772
_cell_length_b 9.1772
_cell_length_c 8.3434
_cell_angle_alpha 101.85
_cell_angle_beta 101.85
_cell_angle_gamma 78.49
loop_
_atom_site_label
_atom_site_type_symbol
_atom_site_fract_x
_atom_site_fract_y
_atom_site_fract_z
Ac1 Ac 0.0000 0.0000 0.0000
Sn1 Sn 0.1929 0.1929 0.6530
Sn2 Sn 0.8071 0.8071 0.3470
I1 I 0.0994 0.7204 0.2132
I2 I 0.2096 0.2096 0.2829
I3 I 0.2796 0.9006 0.7868
I4 I 0.3870 0.3870 0.8540
I5 I 0.6130 0.6130 0.1460
I6 I 0.7204 0.0994 0.2132
I7 I 0.7904 0.7904 0.7171
I8 I 0.9006 0.2796 0.7868
# Uncorrected formation energy in eV/atom: -0.742

[7]
# KLiCaSn | Alexandria | PBE-GGA | relaxed
data_KLiCaSn
_space_group_name_H-M_alt 'P 1'
_space_group_IT_number 1
_space_group_name_Hall 'P 1'
_cell_length_a 7.6789
_cell_length_b 7.6789
_cell_length_c 7.6789
_cell_angle_alpha 90.00
_cell_angle_beta 90.00
_cell_angle_gamma 90.00
loop_
_atom_site_label
_atom_site_type_symbol
_atom_site_fract_x
_atom_site_fract_y
_atom_site_fract_z
K1 K 0.0000 0.0000 0.0000
K2 K 0.0000 0.5000 0.5000
K3 K 0.5000 0.0000 0.5000
K4 K 0.5000 0.5000 0.0000
Li1 Li 0.2500 0.2500 0.2500
Li2 Li 0.2500 0.7500 0.7500
Li3 Li 0.7500 0.2500 0.7500
Li4 Li 0.7500 0.7500 0.2500
Ca1 Ca 0.2500 0.2500 0.7500
Ca2 Ca 0.2500 0.7500 0.2500
Ca3 Ca 0.7500 0.2500 0.2500
Ca4 Ca 0.7500 0.7500 0.7500
Sn1 Sn 0.0000 0.0000 0.5000
Sn2 Sn 0.0000 0.5000 0.0000
Sn3 Sn 0.5000 0.0000 0.0000
Sn4 Sn 0.5000 0.5000 0.5000
# Energy relative to the elements in eV per atom: -0.29

[8]
# CoSb2Pt | Alexandria | PBE-GGA | relaxed
data_CoSb2Pt
_space_group_name_H-M_alt 'P 1'
_space_group_IT_number 1
_space_group_name_Hall 'P 1'
_cell_length_a 3.7526
_cell_length_b 3.7526
_cell_length_c 5.4322
_cell_angle_alpha 90.00
_cell_angle_beta 90.00
_cell_angle_gamma 90.00
loop_
_atom_site_label
_atom_site_type_symbol
_atom_site_fract_x
_atom_site_fract_y
_atom_site_fract_z
Co1 Co 0.0000 0.0000 0.0000
Sb1 Sb 0.0000 0.0000 0.5037
Sb2 Sb 0.5000 0.5000 0.8953
Pt1 Pt 0.5000 0.5000 0.3791
# Energy above the lowest structure with this stoichiometry in eV/atom: 0.119
# Uncorrected formation energy in eV/atom: -0.015

What is the formula in the second record? Pm4Al2ZnIn